Entry 1:
DFT (GGA-PBE) results for crystalline BaCe2SbO8 at its relaxed geometry.

a = 4.985 Å, b = 5.062 Å, c = 7.677 Å
α = 90.00°, β = 90.00°, γ = 89.11°
Last column: magnetic moment on the atom in μB.
Fractional coordinates of all 12 atoms:
Ba 0.000 0.000 0.500  0.04
Ce 0.500 0.500 0.774  0.00
Ce 0.500 0.500 0.226  0.00
Sb 0.000 0.000 0.000  0.00
O 0.183 0.797 0.194  0.00
O 0.702 0.721 0.000  0.00
O 0.817 0.203 0.194  0.00
O 0.817 0.203 0.806  0.00
O 0.298 0.279 0.000  0.00
O 0.183 0.797 0.806  0.00
O 0.610 0.677 0.500  0.41
O 0.390 0.323 0.500  0.41

Summary:
Energy relative to the elements, uncorrected: -2.45 eV per atom
Crystal system: monoclinic

=====

Entry 2:
DFT (GGA-PBE) results for crystalline Ba8Ce3Sb4O24 at its relaxed geometry.

a = 10.533 Å, b = 10.533 Å, c = 10.533 Å
α = 131.95°, β = 131.95°, γ = 70.30°
Fractional coordinates of all 39 atoms:
Ba 0.346 0.346 0.459
Ba 0.887 0.346 0.000
Ba 0.113 0.113 0.459
Ba 0.113 0.654 0.000
Ba 0.346 0.887 0.000
Ba 0.654 0.654 0.541
Ba 0.654 0.113 0.000
Ba 0.887 0.887 0.541
Ce 0.750 0.250 0.500
Ce 0.250 0.750 0.500
Ce 0.500 0.500 0.000
Sb 0.745 0.745 0.000
Sb 0.255 0.255 0.000
Sb 0.000 0.500 0.500
Sb 0.500 0.000 0.500
O 0.500 0.240 0.740
O 0.371 0.371 0.000
O 0.747 0.986 0.239
O 0.253 0.014 0.761
O 0.508 0.747 0.761
O 0.500 0.760 0.260
O 0.380 0.880 0.500
O 0.273 0.000 0.273
O 0.492 0.253 0.239
O 0.760 0.500 0.260
O 0.620 0.120 0.500
O 0.014 0.253 0.761
O 0.747 0.508 0.761
O 0.629 0.629 0.000
O 0.727 0.000 0.727
O 0.240 0.500 0.740
O 0.000 0.727 0.727
O 0.986 0.747 0.239
O 0.141 0.141 0.000
O 0.120 0.620 0.500
O 0.859 0.859 0.000
O 0.000 0.273 0.273
O 0.253 0.492 0.239
O 0.880 0.380 0.500

Summary:
Energy relative to the elements, uncorrected: -2.56 eV per atom
Crystal system: tetragonal

=====

Entry 3:
DFT (GGA-PBE) results for crystalline BaCeSbO2 at its relaxed geometry.

a = 5.761 Å, b = 6.024 Å, c = 7.786 Å
α = 112.76°, β = 90.00°, γ = 90.00°
Last column: magnetic moment on the atom in μB.
Fractional coordinates of all 10 atoms:
Ba 0.250 0.603 0.205  0.00
Ba 0.750 0.397 0.795  0.00
Ce 0.250 0.928 0.857  0.21
Ce 0.750 0.072 0.143  0.21
Sb 0.750 0.752 0.503  0.00
Sb 0.250 0.248 0.497  0.00
O 0.500 0.218 0.000  -0.01
O 0.000 0.782 0.000  -0.01
O 0.500 0.782 0.000  -0.01
O 0.000 0.218 0.000  -0.01

Summary:
Energy relative to the elements, uncorrected: -2.36 eV per atom
Crystal system: orthorhombic

=====

Entry 4:
DFT (GGA-PBE) results for crystalline Ba3CeSc2O8 at its relaxed geometry.

a = 6.198 Å, b = 6.198 Å, c = 7.746 Å
α = 90.00°, β = 90.00°, γ = 120.00°
Fractional coordinates of all 14 atoms:
Ba 0.333 0.667 0.651
Ba 0.667 0.333 0.349
Ba 0.000 0.000 0.000
Ce 0.000 0.000 0.500
Sc 0.333 0.667 0.206
Sc 0.667 0.333 0.794
O 0.333 0.667 0.961
O 0.667 0.333 0.039
O 0.165 0.835 0.320
O 0.835 0.165 0.680
O 0.165 0.330 0.320
O 0.835 0.670 0.680
O 0.670 0.835 0.320
O 0.330 0.165 0.680

Summary:
Energy relative to the elements, uncorrected: -3.03 eV per atom
Crystal system: trigonal

=====

Entry 5:
DFT (GGA-PBE) results for crystalline Ba3CeSc2O9 at its relaxed geometry.

a = 6.064 Å, b = 6.064 Å, c = 7.465 Å
α = 90.00°, β = 90.00°, γ = 120.00°
Last column: magnetic moment on the atom in μB.
Fractional coordinates of all 15 atoms:
Ba 0.333 0.667 0.676  -0.01
Ba 0.000 0.000 0.000  -0.01
Ba 0.667 0.333 0.324  -0.01
Ce 0.000 0.000 0.500  0.00
Sc 0.333 0.667 0.160  -0.03
Sc 0.667 0.333 0.840  -0.03
O 0.829 0.171 0.674  0.18
O 0.829 0.658 0.674  0.18
O 0.342 0.171 0.674  0.18
O 0.658 0.829 0.326  0.18
O 0.171 0.342 0.326  0.18
O 0.171 0.829 0.326  0.18
O 0.500 0.000 0.000  0.27
O 0.000 0.500 0.000  0.27
O 0.500 0.500 0.000  0.27

Summary:
Energy relative to the elements, uncorrected: -2.90 eV per atom
Crystal system: trigonal

=====

Entry 6:
DFT (GGA-PBE) results for crystalline BaCeSeO2 at its relaxed geometry.

a = 6.198 Å, b = 6.198 Å, c = 7.595 Å
α = 114.08°, β = 114.08°, γ = 90.00°
Fractional coordinates of all 10 atoms:
Ba 0.824 0.324 0.648
Ba 0.324 0.824 0.648
Ce 0.004 0.004 0.008
Ce 0.504 0.504 0.008
Se 0.737 0.737 0.475
Se 0.237 0.237 0.475
O 0.217 0.717 0.935
O 0.717 0.717 0.935
O 0.717 0.217 0.935
O 0.217 0.217 0.935

Summary:
Energy relative to the elements, uncorrected: -2.76 eV per atom
Crystal system: tetragonal

=====

Entry 7:
DFT (GGA-PBE) results for crystalline Ba3Ce2Se2O5 at its relaxed geometry.

a = 4.526 Å, b = 4.526 Å, c = 13.406 Å
α = 99.72°, β = 99.72°, γ = 90.00°
Fractional coordinates of all 12 atoms:
Ba 0.174 0.174 0.348
Ba 0.826 0.826 0.652
Ba 0.000 0.000 0.000
Ce 0.416 0.416 0.832
Ce 0.584 0.584 0.168
Se 0.698 0.698 0.395
Se 0.302 0.302 0.605
O 0.582 0.082 0.165
O 0.418 0.918 0.835
O 0.082 0.582 0.165
O 0.918 0.418 0.835
O 0.500 0.500 0.000

Summary:
Energy relative to the elements, uncorrected: -2.79 eV per atom
Crystal system: tetragonal

=====

Entry 8:
DFT (GGA-PBE) results for crystalline Ba2CeSiO6 at its relaxed geometry.

a = 5.826 Å, b = 5.826 Å, c = 5.826 Å
α = 60.00°, β = 60.00°, γ = 90.00°
Fractional coordinates of all 10 atoms:
Ba 0.750 0.250 0.500
Ba 0.250 0.750 0.500
Ce 0.000 0.000 0.000
Si 0.500 0.500 0.000
O 0.275 0.275 0.450
O 0.725 0.725 0.000
O 0.275 0.725 0.000
O 0.725 0.275 0.000
O 0.275 0.275 0.000
O 0.725 0.725 0.550

Summary:
Energy relative to the elements, uncorrected: -2.93 eV per atom
Crystal system: cubic